(1)
Here is Na2SrHRu after structural relaxation from Alexandria. Energies are from GGA-PBE.

abc: 4.497 4.497 5.244
angles: 90.00 90.00 90.00
Fractional coordinates of all 5 atoms:
Na1 0.000 0.500 0.000
Na2 0.500 0.000 0.000
Sr1 0.000 0.000 0.500
H1 0.000 0.000 0.000
Ru1 0.500 0.500 0.500

Summary:
**Total energy**: -14.8 eV per formula unit
**Crystal system**: tetragonal

(2)
Here is Ag2P after structural relaxation from Alexandria. Energies are from GGA-PBE.

abc: 5.910 5.910 8.177
angles: 125.01 125.01 27.88
Fractional coordinates of all 6 atoms:
Ag1 0.022 0.022 0.192
Ag2 0.267 0.267 0.855
Ag3 0.733 0.733 0.145
Ag4 0.978 0.978 0.808
P1 0.395 0.395 0.482
P2 0.605 0.605 0.518

Summary:
**Total energy**: -10.6 eV per formula unit
**Crystal system**: monoclinic

(3)
Here is KInMo3 after structural relaxation from Alexandria. Energies are from GGA-PBE.

abc: 4.588 4.588 4.588
angles: 90.00 90.00 90.00
Fractional coordinates of all 5 atoms:
K1 0.000 0.000 0.000
In1 0.500 0.500 0.500
Mo1 0.000 0.000 0.500
Mo2 0.000 0.500 0.000
Mo3 0.500 0.000 0.000

Summary:
**Total energy**: -22.1 eV per formula unit
**Crystal system**: cubic

(4)
Here is BiAuS2 after structural relaxation from Alexandria. Energies are from GGA-PBE.

abc: 4.124 6.679 8.314
angles: 83.81 76.96 89.52
Fractional coordinates of all 8 atoms:
Bi1 0.000 0.000 0.000
Bi2 0.249 0.836 0.489
Au1 0.418 0.627 0.828
Au2 0.875 0.525 0.148
S1 0.403 0.090 0.216
S2 0.637 0.958 0.750
S3 0.782 0.593 0.420
S4 0.962 0.398 0.889

Summary:
**Total energy**: -16.2 eV per formula unit
**Crystal system**: triclinic
**Formation energy without anion corrections**: -0.19 eV per atom